Entry 1:
A relaxed Na2LaInH crystal, computed with GGA-PBE.

Output
- SG = P4/mmm (123)
- energy (eV per atom) = -2.93

abc: 4.8559 4.8559 5.1110
angles: 90.00 90.00 90.00
Sites, in units of the cell vectors:
Na: 0.5000 0.0000 0.0000
H: 0.0000 0.0000 0.0000
Na: 0.0000 0.5000 0.0000
In: 0.5000 0.5000 0.5000
La: 0.0000 0.0000 0.5000


Entry 2:
A relaxed La2NbInH crystal, computed with GGA-PBE.

Output
- SG = P4/mmm (123)
- energy (eV per atom) = -4.00

abc: 6.0923 5.2623 6.0923
angles: 90.00 90.00 90.00
Last column: magnetic moment on the atom in μB.
Sites, in units of the cell vectors:
Nb: 0.0000 0.5000 0.0000  2.28
In: 0.0000 0.0000 0.0000  0.02
La: 0.0000 0.0000 0.5000  0.20
La: 0.5000 0.0000 0.0000  0.18
H: 0.5000 0.5000 0.5000  -0.02


Entry 3:
A relaxed LaInNi4H6 crystal, computed with GGA-PBE.

Output
- SG = P6/mmm (191)
- energy (eV per atom) = -4.57

abc: 4.4220 4.4220 6.8911
angles: 90.00 90.00 120.00
Sites, in units of the cell vectors:
Ni: 0.3333 0.6667 0.8187
H: 0.0000 0.5000 0.3257
H: 0.5000 0.0000 0.3257
In: 0.0000 0.0000 0.0000
H: 0.0000 0.5000 0.6743
H: 0.5000 0.0000 0.6743
Ni: 0.3333 0.6667 0.1813
Ni: 0.6667 0.3333 0.1813
La: 0.0000 0.0000 0.5000
H: 0.5000 0.5000 0.6743
Ni: 0.6667 0.3333 0.8187
H: 0.5000 0.5000 0.3257


Entry 4:
A relaxed La2InNiH crystal, computed with GGA-PBE.

Output
- SG = P4/mmm (123)
- energy (eV per atom) = -4.67

abc: 5.4048 5.4048 3.7495
angles: 90.00 90.00 90.00
Sites, in units of the cell vectors:
H: 0.0000 0.0000 0.0000
Ni: 0.0000 0.0000 0.5000
In: 0.5000 0.5000 0.5000
La: 0.0000 0.5000 0.0000
La: 0.5000 0.0000 0.0000


Entry 5:
A relaxed La6In2HO crystal, computed with GGA-PBE.

Output
- SG = Pmmn (59)
- energy (eV per atom) = -5.22

abc: 7.2451 7.2440 10.2002
angles: 90.00 90.00 90.00
Sites, in units of the cell vectors:
H: 0.5000 0.2496 0.5000
La: 0.2451 0.5046 0.5000
O: 0.0000 0.7495 0.5000
La: 0.7549 0.5046 0.5000
La: 0.7451 0.0054 0.0000
La: 0.5000 0.2501 0.7526
La: 0.7451 0.4954 0.0000
In: 0.5000 0.7500 0.2498
La: 0.2549 0.4954 0.0000
In: 0.0000 0.2500 0.2502
La: 0.0000 0.7499 0.7474
La: 0.2549 0.0054 0.0000
In: 0.5000 0.7500 0.7502
La: 0.5000 0.2501 0.2474
La: 0.2451 0.9946 0.5000
La: 0.7549 0.9946 0.5000
O: 0.5000 0.2505 0.0000
In: 0.0000 0.2500 0.7498
La: 0.0000 0.7499 0.2526
H: 0.0000 0.7504 0.0000


Entry 6:
A relaxed La4InHPb crystal, computed with GGA-PBE.

Output
- SG = Cmcm (63)
- energy (eV per atom) = -4.70

abc: 6.8128 6.8032 9.6550
angles: 90.00 110.66 90.00
Sites, in units of the cell vectors:
La: 0.0000 0.0000 0.5000
La: 0.0000 0.5000 0.5000
La: 0.9283 0.2500 0.8567
H: 0.2940 0.7500 0.5881
La: 0.5000 0.5000 0.5000
In: 0.3850 0.2500 0.7700
H: 0.7060 0.2500 0.4119
Pb: 0.1125 0.2500 0.2250
Pb: 0.8875 0.7500 0.7750
La: 0.4324 0.7500 0.8647
La: 0.5000 0.0000 0.5000
La: 0.5676 0.2500 0.1353
In: 0.6150 0.7500 0.2300
La: 0.0717 0.7500 0.1433